# Sc5In2GaCo2 PBE optimized geometry
data_Sc5In2GaCo2
_cell_length_a 10.929
_cell_length_b 10.929
_cell_length_c 3.279
_cell_angle_alpha 90.00
_cell_angle_beta 90.00
_cell_angle_gamma 90.00
_symmetry_space_group_name_H-M 'P 4/m b m'
_symmetry_Int_Tables_number 127
_symmetry_space_group_name_Hall '-P 4 2ab'
loop_
_atom_site_label
_atom_site_type_symbol
_atom_site_fract_x
_atom_site_fract_y
_atom_site_fract_z
_atom_site_occupancy
Sc1 Sc 0.000 0.500 0.000 1
Sc2 Sc 0.073 0.205 0.000 1
In1 In 0.174 0.674 0.500 1
Ga1 Ga 0.000 0.000 0.500 1
Co1 Co 0.131 0.369 0.500 1
# Formation enthalpy at 0 K: -0.41 eV/atom
# E: -117.0 eV for the cell shown